# Sm6Ho2ErMg

A geometry-optimized Sm6Ho2ErMg structure (PBE, Alexandria via LeMat-Bulk).

The calculation puts the density of states at the Fermi level at 1.305 states/eV per atom. As for the total magnetization: 0.00 μB/f.u. For the uncorrected energy, the calculation gives -4.242 eV per atom. The formation energy is 0.12 eV per atom.

Lattice parameters (Å, degrees): 8.802 8.802 9.417 93.49 93.49 116.95
Fractional coordinates of all 20 atoms:
Sm1 0.002 0.566 0.194
Sm2 0.127 0.768 0.552
Sm3 0.232 0.873 0.948
Sm4 0.291 0.502 0.390
Sm5 0.434 0.998 0.306
Sm6 0.498 0.709 0.110
Sm7 0.502 0.291 0.890
Sm8 0.566 0.002 0.694
Sm9 0.709 0.498 0.610
Sm10 0.768 0.127 0.052
Sm11 0.873 0.232 0.448
Sm12 0.998 0.434 0.806
Ho1 0.202 0.305 0.050
Ho2 0.305 0.202 0.550
Ho3 0.695 0.798 0.450
Ho4 0.798 0.695 0.950
Er1 0.023 0.977 0.250
Er2 0.977 0.023 0.750
Mg1 0.412 0.588 0.750
Mg2 0.588 0.412 0.250



# Sm2HoEr4Mg

A geometry-optimized Sm2HoEr4Mg structure (PBE, Alexandria via LeMat-Bulk).

The calculation puts the density of states at the Fermi level at 1.497 states/eV per atom. As for the total magnetization: 0.00 μB/f.u. For the uncorrected energy, the calculation gives -4.203 eV per atom. The formation energy is 0.03 eV per atom.

Lattice parameters (Å, degrees): 4.934 4.947 10.034 90.00 90.00 90.00
Fractional coordinates of all 8 atoms:
Sm1 0.000 0.000 0.000
Sm2 0.500 0.500 0.500
Ho1 0.000 0.000 0.500
Er1 0.000 0.500 0.249
Er2 0.000 0.500 0.751
Er3 0.500 0.000 0.250
Er4 0.500 0.000 0.750
Mg1 0.500 0.500 0.000



# Sm2HoEr2Mg5

A geometry-optimized Sm2HoEr2Mg5 structure (PBE, Alexandria via LeMat-Bulk).

The calculation puts the density of states at the Fermi level at 0.676 states/eV per atom. As for the total magnetization: 0.00 μB/f.u. For the uncorrected energy, the calculation gives -3.062 eV per atom. The formation energy is 0.05 eV per atom.

Lattice parameters (Å, degrees): 10.575 10.575 5.058 90.00 90.00 90.00
Fractional coordinates of all 20 atoms:
Sm1 0.178 0.322 0.000
Sm2 0.322 0.822 0.000
Sm3 0.678 0.178 0.000
Sm4 0.822 0.678 0.000
Ho1 0.000 0.000 0.000
Ho2 0.500 0.500 0.000
Er1 0.119 0.619 0.000
Er2 0.381 0.119 0.000
Er3 0.619 0.881 0.000
Er4 0.881 0.381 0.000
Mg1 0.000 0.500 0.500
Mg2 0.070 0.802 0.500
Mg3 0.198 0.070 0.500
Mg4 0.302 0.570 0.500
Mg5 0.430 0.302 0.500
Mg6 0.500 0.000 0.500
Mg7 0.570 0.698 0.500
Mg8 0.698 0.430 0.500
Mg9 0.802 0.930 0.500
Mg10 0.930 0.198 0.500



# Sm4Ho2ErMg

A geometry-optimized Sm4Ho2ErMg structure (PBE, Alexandria via LeMat-Bulk).

The calculation puts the density of states at the Fermi level at 1.367 states/eV per atom. As for the total magnetization: 0.00 μB/f.u. For the uncorrected energy, the calculation gives -4.262 eV per atom. The formation energy is 0.01 eV per atom.

Lattice parameters (Å, degrees): 5.027 5.027 9.913 90.00 90.00 90.00
Fractional coordinates of all 8 atoms:
Sm1 0.000 0.500 0.247
Sm2 0.000 0.500 0.753
Sm3 0.500 0.000 0.247
Sm4 0.500 0.000 0.753
Ho1 0.000 0.000 0.000
Ho2 0.500 0.500 0.500
Er1 0.000 0.000 0.500
Mg1 0.500 0.500 0.000



# HoErMgSn

A geometry-optimized HoErMgSn structure (PBE, Alexandria via LeMat-Bulk).

The calculation puts the density of states at the Fermi level at 0.931 states/eV per atom. As for the total magnetization: 0.00 μB/f.u. For the uncorrected energy, the calculation gives -4.061 eV per atom. The formation energy is -0.38 eV per atom.

Lattice parameters (Å, degrees): 5.263 5.263 5.263 60.00 60.00 60.00
Fractional coordinates of all 4 atoms:
Ho1 0.000 0.000 0.000
Er1 0.500 0.500 0.500
Mg1 0.250 0.250 0.250
Sn1 0.750 0.750 0.750



# Tb6Ho3Er2Mg

A geometry-optimized Tb6Ho3Er2Mg structure (PBE, Alexandria via LeMat-Bulk).

The calculation puts the density of states at the Fermi level at 1.286 states/eV per atom. As for the total magnetization: 0.00 μB/f.u. For the uncorrected energy, the calculation gives -4.326 eV per atom. The formation energy is 0.03 eV per atom.

Lattice parameters (Å, degrees): 6.109 6.109 11.611 95.07 95.07 120.04
Fractional coordinates of all 12 atoms:
Tb1 0.082 0.415 0.248
Tb2 0.251 0.251 0.751
Tb3 0.415 0.082 0.248
Tb4 0.585 0.918 0.752
Tb5 0.749 0.749 0.249
Tb6 0.918 0.585 0.752
Ho1 0.166 0.834 0.500
Ho2 0.500 0.500 0.500
Ho3 0.834 0.166 0.500
Er1 0.334 0.666 0.000
Er2 0.666 0.334 0.000
Mg1 0.000 0.000 0.000



# TbHo2Er2Mg2

A geometry-optimized TbHo2Er2Mg2 structure (PBE, Alexandria via LeMat-Bulk).

The calculation puts the density of states at the Fermi level at 1.072 states/eV per atom. As for the total magnetization: 0.00 μB/f.u. For the uncorrected energy, the calculation gives -3.753 eV per atom. The formation energy is -0.02 eV per atom.

Lattice parameters (Å, degrees): 8.537 8.537 8.537 36.92 36.92 36.92
Fractional coordinates of all 7 atoms:
Tb1 0.000 0.000 0.000
Ho1 0.427 0.427 0.427
Ho2 0.573 0.573 0.573
Er1 0.155 0.155 0.155
Er2 0.845 0.845 0.845
Mg1 0.289 0.289 0.289
Mg2 0.711 0.711 0.711



# Tb2HoEr2Mg

A geometry-optimized Tb2HoEr2Mg structure (PBE, Alexandria via LeMat-Bulk).

The calculation puts the density of states at the Fermi level at 1.266 states/eV per atom. As for the total magnetization: 0.00 μB/f.u. For the uncorrected energy, the calculation gives -3.617 eV per atom. The formation energy is 0.48 eV per atom.

Lattice parameters (Å, degrees): 10.160 11.712 3.600 90.00 90.00 90.00
Fractional coordinates of all 12 atoms:
Tb1 0.098 0.222 0.000
Tb2 0.402 0.722 0.500
Tb3 0.598 0.278 0.500
Tb4 0.902 0.778 0.000
Ho1 0.000 0.000 0.500
Ho2 0.500 0.500 0.000
Er1 0.250 0.428 0.500
Er2 0.250 0.928 0.000
Er3 0.750 0.072 0.000
Er4 0.750 0.572 0.500
Mg1 0.000 0.500 0.000
Mg2 0.500 0.000 0.500



> What is the uncorrected energy in the second record?

-4.203 eV per atom



> Look up the uncorrected energy of the first one.

-4.242 eV per atom